5
Lattice="4.567 0.000 0.000 0.000 4.567 0.000 0.000 0.000 4.147" Properties=species:S:1:pos:R:3 comment="MnPOs2Pb meta-GGA SCAN PBEsol geometry" delta_e_f_ev_per_atom=1.30 sg="P4/mmm, No. 123" pbc="T T T"
Mn 0.000 0.000 0.000
P 0.000 0.000 2.073
Os 0.000 2.284 0.000
Os 2.284 0.000 0.000
Pb 2.284 2.284 2.073